(1)
Below is a geometry-optimized Cd2Rh structure, with properties calculated at the PBE level.

## Properties
crystal system = cubic
uncorrected energy = -2.735 eV per atom
energy of formation from the pure elements = 31.4 kJ per mole of atoms
D(E_F) = 4.18 states/eV/cell
space-group type = Fd-3m, No. 227

```
6
Lattice="3.173 -4.264 -1.122 -1.840 -5.046 0.820 -1.144 -3.196 -4.241" Properties=species:S:1:pos:R:3 pbc="T T T"
Cd 0.024 -1.563 -0.568
Cd 1.610 -3.696 -1.129
Cd -0.549 -3.162 -2.689
Cd -0.896 -4.086 -0.158
Rh 0.142 -9.380 -3.408
Rh 0.095 -6.253 -2.272
```


(2)
Below is a geometry-optimized Mn3AlAs structure, with properties calculated at the PBE level.

## Properties
crystal system = cubic
uncorrected energy = -6.636 eV per atom
energy of formation from the pure elements = 52.5 kJ per mole of atoms
D(E_F) = 3.48 states/eV/cell
space-group type = Pm-3m, No. 221
energy above the most stable polymorph in this dataset = 0 meV/atom

```
5
Lattice="4.599 0.000 0.000 0.000 4.599 0.000 0.000 0.000 4.599" Properties=species:S:1:pos:R:3 pbc="T T T"
Mn 0.000 0.000 2.300
Mn 0.000 2.300 0.000
Mn 2.300 0.000 0.000
As 0.000 0.000 0.000
Al 2.300 2.300 2.300
```


> Which value of energy of formation from the pure elements does entry 1 give?

31.4 kJ per mole of atoms